VASP calculation (PBE+U) on a geometry-optimized ZrW4O12 structure.

Properties
Crystal system: tetragonal
DFT total energy: -267.4 eV for the cell shown

CIF file:
```
data_ZrW4O12
_chemical_formula_sum 'Zr2 W8 O24'
_cell_length_a 7.8584
_cell_length_b 7.8584
_cell_length_c 7.4286
_cell_angle_alpha 90.00
_cell_angle_beta 90.00
_cell_angle_gamma 90.00
_space_group_name_H-M_alt 'I 4/m m m'
_space_group_IT_number 139
_space_group_name_Hall '-I 4 2'
loop_
_atom_site_label
_atom_site_fract_x
_atom_site_fract_y
_atom_site_fract_z
Zr1 0.0000 0.0000 0.0000
W1 0.2500 0.2500 0.2500
O1 0.0000 0.2307 0.1804
O2 0.1994 0.1994 0.5000
```